No. 1
VASP calculation (PBE) on a geometry-optimized PrSmTe2Br structure.

Size of the total moment   0.0 μB per formula unit
Electronic total energy   -0.36589 Ry per atom
Uncorrected formation energy   -1.49 eV per atom

Structure (POSCAR):
```
PrSmTe2Br
1.0
4.492 0.000 0.000
0.000 4.492 0.000
0.000 0.000 15.258
Br Te Pr Sm
2 4 2 2
Direct
0.500 0.500 0.500
0.000 0.000 0.500
0.500 0.000 0.295
0.000 0.500 0.122
0.000 0.500 0.705
0.500 0.000 0.878
0.000 0.500 0.358
0.500 0.000 0.642
0.000 0.500 0.914
0.500 0.000 0.086
```

No. 2
VASP calculation (PBE) on a geometry-optimized Pr3SnBr3 structure.

Size of the total moment   0.0 μB per formula unit
Electronic total energy   -0.34264 Ry per atom
Uncorrected formation energy   -1.32 eV per atom

Structure (POSCAR):
```
Pr3SnBr3
1.0
4.414 0.000 0.000
0.000 8.855 0.211
0.000 0.841 12.491
Sn Pr Br
2 6 6
Direct
0.250 0.877 0.388
0.750 0.123 0.612
0.750 0.126 0.365
0.250 0.874 0.635
0.250 0.875 0.149
0.750 0.630 0.394
0.250 0.370 0.606
0.750 0.125 0.851
0.750 0.616 0.651
0.250 0.882 0.892
0.250 0.384 0.349
0.750 0.118 0.108
0.250 0.356 0.858
0.750 0.644 0.142
```

No. 3
VASP calculation (PBE) on a geometry-optimized PrSnBr structure.

Size of the total moment   0.0 μB per formula unit
Electronic total energy   -0.33297 Ry per atom
Uncorrected formation energy   -1.05 eV per atom

Structure (POSCAR):
```
PrSnBr
1.0
-1.889 4.640 0.140
-2.063 -4.341 1.421
5.781 -1.046 9.019
Br Pr Sn
2 2 2
Direct
0.545 0.318 0.863
0.455 0.682 0.137
0.111 0.601 0.711
0.889 0.399 0.289
0.325 0.141 0.466
0.675 0.859 0.534
```

No. 4
VASP calculation (PBE) on a geometry-optimized Pr3SnBr3 structure.

Size of the total moment   0.0 μB per formula unit
Electronic total energy   -0.33961 Ry per atom
Uncorrected formation energy   -1.28 eV per atom

Structure (POSCAR):
```
Pr3SnBr3
1.0
-0.316 -4.300 -6.123
3.760 -6.472 -0.228
-7.553 -8.790 1.984
Br Pr Sn
6 6 2
Direct
0.771 0.110 0.670
0.229 0.890 0.330
0.450 0.771 0.670
0.550 0.229 0.330
0.890 0.550 0.330
0.110 0.450 0.670
0.725 0.386 0.833
0.944 0.275 0.167
0.614 0.944 0.167
0.275 0.614 0.167
0.386 0.056 0.833
0.056 0.725 0.833
0.333 0.333 0.000
0.667 0.667 0.000
```

No. 5
VASP calculation (PBE) on a geometry-optimized PrSnBr structure.

Size of the total moment   0.0 μB per formula unit
Electronic total energy   -0.33090 Ry per atom
Uncorrected formation energy   -1.02 eV per atom

Structure (POSCAR):
```
PrSnBr
1.0
-3.758 2.019 -5.663
4.202 -9.143 -3.090
-7.308 -0.763 7.537
Pr Sn Br
6 6 6
Direct
0.219 0.395 0.458
0.239 0.458 0.064
0.175 0.936 0.395
0.761 0.542 0.936
0.781 0.605 0.542
0.825 0.064 0.605
0.699 0.720 0.267
0.021 0.454 0.720
0.979 0.546 0.280
0.301 0.280 0.733
0.567 0.267 0.546
0.433 0.733 0.454
0.197 0.798 0.095
0.898 0.095 0.297
0.399 0.297 0.202
0.102 0.905 0.703
0.803 0.202 0.905
0.601 0.703 0.798
```

No. 6
VASP calculation (PBE) on a geometry-optimized PrSn2Br8 structure.

Size of the total moment   0.0 μB per formula unit
Relative energy among the computed polymorphs   22 meV per atom
Electronic total energy   -0.25034 Ry per atom
Uncorrected formation energy   -1.03 eV per atom

Structure (POSCAR):
```
PrSn2Br8
1.0
-1.141 -7.657 2.783
4.511 -4.818 -4.744
6.716 -1.910 4.161
Br Pr Sn
8 1 2
Direct
0.693 0.196 0.196
0.186 0.878 0.293
0.186 0.293 0.878
0.794 0.661 0.661
0.814 0.122 0.707
0.307 0.804 0.804
0.814 0.707 0.122
0.206 0.339 0.339
0.000 0.000 0.000
0.619 0.864 0.864
0.381 0.136 0.136
```